a) Here is crystalline CdSnPd3 at its relaxed geometry from Alexandria. Energies are from PBE.

abc: 5.5129 13.3693 5.2384
angles: 90.00 102.36 90.00
Space group C2/c (No. 15)
Asymmetric unit:
1 Cd 0.0000 0.0439 0.2500
2 Sn 0.0000 0.3227 0.7500
3 Pd 0.0000 0.5000 0.0000
4 Pd 0.2436 0.1591 0.6864

b) Here is crystalline CdSnPd3 at its relaxed geometry from Alexandria. Energies are from PBE.

abc: 7.3160 7.3892 6.8115
angles: 90.00 90.00 90.00
Space group Pnma (No. 62)
Asymmetric unit:
1 Cd 0.0000 0.0000 0.0000
2 Sn 0.1601 0.2500 0.4173
3 Pd 0.1385 0.7500 0.2789
4 Pd 0.1471 0.5533 0.6402

In terms of stability, b) leads; the second structure lies 56 meV/atom higher.

a) Here is crystalline CdSn2Pd7 at its relaxed geometry from Alexandria. Energies are from PBE.

abc: 7.3658 13.6429 4.2470
angles: 90.00 90.00 90.00
Space group Cmmm (No. 65)
Asymmetric unit:
1 Cd 0.0000 0.0000 0.0000
2 Sn 0.0000 0.3041 0.5000
3 Pd 0.0000 0.1965 0.0000
4 Pd 0.0000 0.5000 0.5000
5 Pd 0.1845 0.1058 0.5000

b) Here is crystalline CdSn2Pd7 at its relaxed geometry from Alexandria. Energies are from PBE.

abc: 4.1053 4.1053 21.7659
angles: 90.00 90.00 90.00
Space group I4/mmm (No. 139)
Asymmetric unit:
1 Cd 0.0000 0.0000 0.0000
2 Sn 0.0000 0.0000 0.3304
3 Pd 0.0000 0.0000 0.5000
4 Pd 0.0000 0.5000 0.0915
5 Pd 0.0000 0.5000 0.2500

In terms of stability, b) leads; the second structure lies 325 meV/atom higher.